# YSnBr3 PBE optimized geometry
data_YSnBr3
_chemical_formula_sum 'Y1 Sn1 Br3'
_space_group_name_H-M_alt 'P m -3 m'
_space_group_IT_number 221
_space_group_name_Hall '-P 4 2 3'
_cell_length_a 5.6255
_cell_length_b 5.6255
_cell_length_c 5.6255
_cell_angle_alpha 90.00
_cell_angle_beta 90.00
_cell_angle_gamma 90.00
loop_
_atom_site_label
_atom_site_type_symbol
_atom_site_fract_x
_atom_site_fract_y
_atom_site_fract_z
_atom_site_occupancy
Y1 Y 0.0000 0.0000 0.0000 1
Sn1 Sn 0.5000 0.5000 0.5000 1
Br1 Br 0.0000 0.0000 0.5000 1
# Energy relative to the elements, uncorrected in eV per atom: -0.84
# VASP energy in eV per atom: -3.94
# Polymorph energy (0 for the lowest one) in eV per formula unit: 0.00